No. 1
Density functional theory data (PBE) for a geometry-optimized Ca5C structure.

Relative energy among the computed polymorphs (eV per formula unit): 6.886
Space group: P6/mmm, No. 191

```
data_Ca5C
_space_group_name_H-M_alt 'P 1'
_space_group_IT_number 1
_cell_length_a 6.9524
_cell_length_b 6.9524
_cell_length_c 6.5292
_cell_angle_alpha 90.00
_cell_angle_beta 90.00
_cell_angle_gamma 120.00
loop_
_space_group_symop_operation_xyz
'x,y,z'
loop_
_atom_site_label
_atom_site_type_symbol
_atom_site_fract_x
_atom_site_fract_y
_atom_site_fract_z
Ca1 Ca 0.3333 0.6667 0.0000
Ca2 Ca 0.6667 0.3333 0.0000
Ca3 Ca 0.5000 0.0000 0.5000
Ca4 Ca 0.0000 0.5000 0.5000
Ca5 Ca 0.5000 0.5000 0.5000
C1 C 0.0000 0.0000 0.0000
```

No. 2
Density functional theory data (PBE) for a geometry-optimized CaC2 structure.

Relative energy among the computed polymorphs (eV per formula unit): 0.011
Space group: Immm, No. 71

```
data_CaC2
_space_group_name_H-M_alt 'P 1'
_space_group_IT_number 1
_cell_length_a 3.7915
_cell_length_b 4.0944
_cell_length_c 4.0944
_cell_angle_alpha 73.38
_cell_angle_beta 62.42
_cell_angle_gamma 62.42
loop_
_space_group_symop_operation_xyz
'x,y,z'
loop_
_atom_site_label
_atom_site_type_symbol
_atom_site_fract_x
_atom_site_fract_y
_atom_site_fract_z
Ca1 Ca 0.0000 0.0000 0.0000
C1 C 0.5000 0.3713 0.6287
C2 C 0.5000 0.6287 0.3713
```

No. 3
Density functional theory data (PBE) for a geometry-optimized CaC3 structure.

Relative energy among the computed polymorphs (eV per formula unit): 4.226
Space group: Pmm2, No. 25

```
data_CaC3
_space_group_name_H-M_alt 'P 1'
_space_group_IT_number 1
_cell_length_a 2.6825
_cell_length_b 3.5979
_cell_length_c 4.3480
_cell_angle_alpha 90.00
_cell_angle_beta 90.00
_cell_angle_gamma 90.00
loop_
_space_group_symop_operation_xyz
'x,y,z'
loop_
_atom_site_label
_atom_site_type_symbol
_atom_site_fract_x
_atom_site_fract_y
_atom_site_fract_z
Ca1 Ca 0.0000 0.5000 0.3275
C1 C 0.0000 0.0000 0.8344
C2 C 0.5000 0.0000 0.6644
C3 C 0.5000 0.5000 0.8404
```

No. 4
Density functional theory data (PBE) for a geometry-optimized CaC structure.

Relative energy among the computed polymorphs (eV per formula unit): 0.307
Space group: C2/m, No. 12

```
data_CaC
_space_group_name_H-M_alt 'P 1'
_space_group_IT_number 1
_cell_length_a 4.7523
_cell_length_b 6.6871
_cell_length_c 3.7459
_cell_angle_alpha 73.73
_cell_angle_beta 66.79
_cell_angle_gamma 38.77
loop_
_space_group_symop_operation_xyz
'x,y,z'
loop_
_atom_site_label
_atom_site_type_symbol
_atom_site_fract_x
_atom_site_fract_y
_atom_site_fract_z
Ca1 Ca 0.4305 0.5316 0.5190
Ca2 Ca 0.4862 0.0518 0.2310
C1 C 0.2290 0.8833 0.9438
C2 C 0.6876 0.7000 0.8062
```

No. 5
Density functional theory data (PBE) for a geometry-optimized CaC5 structure.

Relative energy among the computed polymorphs (eV per formula unit): 7.308
Space group: P4/mmm, No. 123

```
data_CaC5
_space_group_name_H-M_alt 'P 1'
_space_group_IT_number 1
_cell_length_a 3.3061
_cell_length_b 3.3061
_cell_length_c 6.0753
_cell_angle_alpha 90.00
_cell_angle_beta 90.00
_cell_angle_gamma 90.00
loop_
_space_group_symop_operation_xyz
'x,y,z'
loop_
_atom_site_label
_atom_site_type_symbol
_atom_site_fract_x
_atom_site_fract_y
_atom_site_fract_z
Ca1 Ca 0.5000 0.5000 0.0000
C1 C 0.0000 0.0000 0.7210
C2 C 0.0000 0.0000 0.2790
C3 C 0.5000 0.5000 0.6121
C4 C 0.5000 0.5000 0.3879
C5 C 0.0000 0.0000 0.5000
```

No. 6
Density functional theory data (PBE) for a geometry-optimized CaC structure.

Relative energy among the computed polymorphs (eV per formula unit): 0.086
Space group: Amm2, No. 38

```
data_CaC
_space_group_name_H-M_alt 'P 1'
_space_group_IT_number 1
_cell_length_a 3.8657
_cell_length_b 3.5183
_cell_length_c 11.6715
_cell_angle_alpha 90.00
_cell_angle_beta 90.00
_cell_angle_gamma 90.00
loop_
_space_group_symop_operation_xyz
'x,y,z'
loop_
_atom_site_label
_atom_site_type_symbol
_atom_site_fract_x
_atom_site_fract_y
_atom_site_fract_z
Ca1 Ca 0.0000 0.0000 0.1522
Ca2 Ca 0.0000 0.5000 0.6522
Ca3 Ca 0.5000 0.0000 0.4066
Ca4 Ca 0.5000 0.5000 0.9066
C1 C 0.0000 0.0000 0.9380
C2 C 0.0000 0.5000 0.4380
C3 C 0.0000 0.0000 0.8257
C4 C 0.0000 0.5000 0.3257
```

No. 7
Density functional theory data (PBE) for a geometry-optimized CaC structure.

Relative energy among the computed polymorphs (eV per formula unit): 0.240
Space group: C2, No. 5

```
data_CaC
_space_group_name_H-M_alt 'P 1'
_space_group_IT_number 1
_cell_length_a 4.6732
_cell_length_b 9.5992
_cell_length_c 3.6827
_cell_angle_alpha 90.00
_cell_angle_beta 99.24
_cell_angle_gamma 90.00
loop_
_space_group_symop_operation_xyz
'x,y,z'
loop_
_atom_site_label
_atom_site_type_symbol
_atom_site_fract_x
_atom_site_fract_y
_atom_site_fract_z
Ca1 Ca 0.0000 0.7571 0.0000
Ca2 Ca 0.0000 0.2571 0.5000
Ca3 Ca 0.5000 0.0062 0.5000
Ca4 Ca 0.5000 0.5062 0.0000
C1 C 0.1048 0.5322 0.4048
C2 C 0.8952 0.5322 0.5952
C3 C 0.1048 0.0322 0.9048
C4 C 0.8952 0.0322 0.0952
```

No. 8
Density functional theory data (PBE) for a geometry-optimized CaC3 structure.

Relative energy among the computed polymorphs (eV per formula unit): 4.687
Space group: P4/mmm, No. 123

```
data_CaC3
_space_group_name_H-M_alt 'P 1'
_space_group_IT_number 1
_cell_length_a 3.1217
_cell_length_b 3.1217
_cell_length_c 4.8432
_cell_angle_alpha 90.00
_cell_angle_beta 90.00
_cell_angle_gamma 90.01
loop_
_space_group_symop_operation_xyz
'x,y,z'
loop_
_atom_site_label
_atom_site_type_symbol
_atom_site_fract_x
_atom_site_fract_y
_atom_site_fract_z
Ca1 Ca 0.5000 0.5000 0.2500
C1 C 0.0000 0.0000 0.8873
C2 C 0.5000 0.5000 0.7500
C3 C 0.0000 0.0000 0.6127
```

No. 9
Density functional theory data (PBE) for a geometry-optimized CaC structure.

Relative energy among the computed polymorphs (eV per formula unit): 1.050
Space group: Cmmm, No. 65

```
data_CaC
_space_group_name_H-M_alt 'P 1'
_space_group_IT_number 1
_cell_length_a 16.4373
_cell_length_b 2.9379
_cell_length_c 3.8498
_cell_angle_alpha 90.00
_cell_angle_beta 90.00
_cell_angle_gamma 90.00
loop_
_space_group_symop_operation_xyz
'x,y,z'
loop_
_atom_site_label
_atom_site_type_symbol
_atom_site_fract_x
_atom_site_fract_y
_atom_site_fract_z
Ca1 Ca 0.8441 0.0000 0.5000
Ca2 Ca 0.1559 0.0000 0.5000
Ca3 Ca 0.3441 0.5000 0.5000
Ca4 Ca 0.6559 0.5000 0.5000
Ca5 Ca 0.5000 0.0000 0.0000
Ca6 Ca 0.0000 0.5000 0.0000
C1 C 0.7266 0.0000 0.0000
C2 C 0.2734 0.0000 0.0000
C3 C 0.2266 0.5000 0.0000
C4 C 0.7734 0.5000 0.0000
C5 C 0.0000 0.0000 0.5000
C6 C 0.5000 0.5000 0.5000
```

No. 10
Density functional theory data (PBE) for a geometry-optimized Ca3C4 structure.

Relative energy among the computed polymorphs (eV per formula unit): 0.000
Space group: I4/mmm, No. 139

```
data_Ca3C4
_space_group_name_H-M_alt 'P 1'
_space_group_IT_number 1
_cell_length_a 9.1646
_cell_length_b 9.1646
_cell_length_c 9.1646
_cell_angle_alpha 156.31
_cell_angle_beta 156.31
_cell_angle_gamma 33.75
loop_
_space_group_symop_operation_xyz
'x,y,z'
loop_
_atom_site_label
_atom_site_type_symbol
_atom_site_fract_x
_atom_site_fract_y
_atom_site_fract_z
Ca1 Ca 0.0000 0.0000 0.0000
Ca2 Ca 0.6771 0.6771 0.0000
Ca3 Ca 0.3229 0.3229 0.0000
C1 C 0.8293 0.8293 0.0000
C2 C 0.1707 0.1707 0.0000
C3 C 0.5360 0.5360 0.0000
C4 C 0.4640 0.4640 0.0000
```

No. 11
Density functional theory data (PBE) for a geometry-optimized CaC structure.

Relative energy among the computed polymorphs (eV per formula unit): 2.971
Space group: Pm-3n, No. 223

```
data_CaC
_space_group_name_H-M_alt 'P 1'
_space_group_IT_number 1
_cell_length_a 7.0484
_cell_length_b 7.0484
_cell_length_c 7.0484
_cell_angle_alpha 90.00
_cell_angle_beta 90.00
_cell_angle_gamma 90.00
loop_
_space_group_symop_operation_xyz
'x,y,z'
loop_
_atom_site_label
_atom_site_type_symbol
_atom_site_fract_x
_atom_site_fract_y
_atom_site_fract_z
Ca1 Ca 0.2500 0.0000 0.5000
Ca2 Ca 0.7500 0.0000 0.5000
Ca3 Ca 0.0000 0.5000 0.2500
Ca4 Ca 0.0000 0.5000 0.7500
Ca5 Ca 0.5000 0.2500 0.0000
Ca6 Ca 0.5000 0.7500 0.0000
C1 C 0.2500 0.5000 0.0000
C2 C 0.7500 0.5000 0.0000
C3 C 0.5000 0.0000 0.2500
C4 C 0.5000 0.0000 0.7500
C5 C 0.0000 0.2500 0.5000
C6 C 0.0000 0.7500 0.5000
```

No. 12
Density functional theory data (PBE) for a geometry-optimized CaC3 structure.

Relative energy among the computed polymorphs (eV per formula unit): 15.000
Space group: Pm-3m, No. 221

```
data_CaC3
_space_group_name_H-M_alt 'P 1'
_space_group_IT_number 1
_cell_length_a 5.1569
_cell_length_b 5.1569
_cell_length_c 5.1569
_cell_angle_alpha 90.00
_cell_angle_beta 90.00
_cell_angle_gamma 90.00
loop_
_space_group_symop_operation_xyz
'x,y,z'
loop_
_atom_site_label
_atom_site_type_symbol
_atom_site_fract_x
_atom_site_fract_y
_atom_site_fract_z
Ca1 Ca 0.0000 0.0000 0.0000
C1 C 0.5000 0.0000 0.0000
C2 C 0.0000 0.5000 0.0000
C3 C 0.0000 0.0000 0.5000
```

No. 13
Density functional theory data (PBE) for a geometry-optimized CaC2 structure.

Relative energy among the computed polymorphs (eV per formula unit): 3.369
Space group: P4/nmm, No. 129

```
data_CaC2
_space_group_name_H-M_alt 'P 1'
_space_group_IT_number 1
_cell_length_a 3.3047
_cell_length_b 3.3047
_cell_length_c 7.3696
_cell_angle_alpha 90.00
_cell_angle_beta 90.00
_cell_angle_gamma 90.00
loop_
_space_group_symop_operation_xyz
'x,y,z'
loop_
_atom_site_label
_atom_site_type_symbol
_atom_site_fract_x
_atom_site_fract_y
_atom_site_fract_z
Ca1 Ca 0.5000 0.0000 0.7357
Ca2 Ca 0.0000 0.5000 0.2643
C1 C 0.0000 0.0000 0.0000
C2 C 0.5000 0.5000 0.0000
C3 C 0.5000 0.0000 0.0673
C4 C 0.0000 0.5000 0.9327
```

No. 14
Density functional theory data (PBE) for a geometry-optimized CaC structure.

Relative energy among the computed polymorphs (eV per formula unit): 2.270
Space group: Fm-3m, No. 225

```
data_CaC
_space_group_name_H-M_alt 'P 1'
_space_group_IT_number 1
_cell_length_a 3.7373
_cell_length_b 3.7373
_cell_length_c 3.7373
_cell_angle_alpha 60.00
_cell_angle_beta 60.00
_cell_angle_gamma 60.00
loop_
_space_group_symop_operation_xyz
'x,y,z'
loop_
_atom_site_label
_atom_site_type_symbol
_atom_site_fract_x
_atom_site_fract_y
_atom_site_fract_z
Ca1 Ca 0.5000 0.5000 0.5000
C1 C 0.0000 0.0000 0.0000
```

No. 15
Density functional theory data (PBE) for a geometry-optimized CaC structure.

Relative energy among the computed polymorphs (eV per formula unit): 2.493
Space group: P6_3/mmc, No. 194

```
data_CaC
_space_group_name_H-M_alt 'P 1'
_space_group_IT_number 1
_cell_length_a 3.6303
_cell_length_b 3.6303
_cell_length_c 6.4932
_cell_angle_alpha 90.00
_cell_angle_beta 90.00
_cell_angle_gamma 120.00
loop_
_space_group_symop_operation_xyz
'x,y,z'
loop_
_atom_site_label
_atom_site_type_symbol
_atom_site_fract_x
_atom_site_fract_y
_atom_site_fract_z
Ca1 Ca 0.0000 0.0000 0.0000
Ca2 Ca 0.0000 0.0000 0.5000
C1 C 0.3333 0.6667 0.2500
C2 C 0.6667 0.3333 0.7500
```

No. 16
Density functional theory data (PBE) for a geometry-optimized Ca4C3 structure.

Relative energy among the computed polymorphs (eV per formula unit): 2.001
Space group: P-43m, No. 215

```
data_Ca4C3
_space_group_name_H-M_alt 'P 1'
_space_group_IT_number 1
_cell_length_a 5.7636
_cell_length_b 5.7636
_cell_length_c 5.7636
_cell_angle_alpha 90.00
_cell_angle_beta 90.00
_cell_angle_gamma 90.00
loop_
_space_group_symop_operation_xyz
'x,y,z'
loop_
_atom_site_label
_atom_site_type_symbol
_atom_site_fract_x
_atom_site_fract_y
_atom_site_fract_z
Ca1 Ca 0.2697 0.7303 0.2697
Ca2 Ca 0.7303 0.2697 0.2697
Ca3 Ca 0.7303 0.7303 0.7303
Ca4 Ca 0.2697 0.2697 0.7303
C1 C 0.5000 0.0000 0.5000
C2 C 0.5000 0.5000 0.0000
C3 C 0.0000 0.5000 0.5000
```

No. 17
Density functional theory data (PBE) for a geometry-optimized CaC8 structure.

Space group: I4/mmm, No. 139

```
data_CaC8
_space_group_name_H-M_alt 'P 1'
_space_group_IT_number 1
_cell_length_a 4.8214
_cell_length_b 4.8214
_cell_length_c 4.8214
_cell_angle_alpha 109.45
_cell_angle_beta 109.45
_cell_angle_gamma 109.52
loop_
_space_group_symop_operation_xyz
'x,y,z'
loop_
_atom_site_label
_atom_site_type_symbol
_atom_site_fract_x
_atom_site_fract_y
_atom_site_fract_z
Ca1 Ca 0.0000 0.0000 0.0000
C1 C 0.2687 0.2687 0.5375
C2 C 0.7313 0.7313 0.4625
C3 C 0.0000 0.6253 0.6253
C4 C 0.7313 0.2687 0.0000
C5 C 0.3747 0.0000 0.3747
C6 C 0.2687 0.7313 0.0000
C7 C 0.0000 0.3747 0.3747
C8 C 0.6253 0.0000 0.6253
```

No. 18
Density functional theory data (PBE) for a geometry-optimized CaC2 structure.

Relative energy among the computed polymorphs (eV per formula unit): 0.600
Space group: Immm, No. 71

```
data_CaC2
_space_group_name_H-M_alt 'P 1'
_space_group_IT_number 1
_cell_length_a 5.0917
_cell_length_b 5.0917
_cell_length_c 5.0917
_cell_angle_alpha 149.46
_cell_angle_beta 100.72
_cell_angle_gamma 87.29
loop_
_space_group_symop_operation_xyz
'x,y,z'
loop_
_atom_site_label
_atom_site_type_symbol
_atom_site_fract_x
_atom_site_fract_y
_atom_site_fract_z
Ca1 Ca 0.2942 0.2942 0.0000
Ca2 Ca 0.7058 0.7058 0.0000
C1 C 0.7679 0.0000 0.7679
C2 C 0.8863 0.5000 0.3863
C3 C 0.1137 0.5000 0.6137
C4 C 0.2321 0.0000 0.2321
```

No. 19
Density functional theory data (PBE) for a geometry-optimized CaC2 structure.

Relative energy among the computed polymorphs (eV per formula unit): 5.968
Space group: Fd-3m, No. 227

```
data_CaC2
_space_group_name_H-M_alt 'P 1'
_space_group_IT_number 1
_cell_length_a 4.5223
_cell_length_b 4.5223
_cell_length_c 4.5223
_cell_angle_alpha 60.00
_cell_angle_beta 60.00
_cell_angle_gamma 60.00
loop_
_space_group_symop_operation_xyz
'x,y,z'
loop_
_atom_site_label
_atom_site_type_symbol
_atom_site_fract_x
_atom_site_fract_y
_atom_site_fract_z
Ca1 Ca 0.5000 0.5000 0.5000
Ca2 Ca 0.7500 0.7500 0.7500
C1 C 0.6250 0.1250 0.1250
C2 C 0.1250 0.6250 0.1250
C3 C 0.1250 0.1250 0.6250
C4 C 0.1250 0.1250 0.1250
```

No. 20
Density functional theory data (PBE) for a geometry-optimized CaC structure.

Relative energy among the computed polymorphs (eV per formula unit): 0.183
Space group: Amm2, No. 38

```
data_CaC
_space_group_name_H-M_alt 'P 1'
_space_group_IT_number 1
_cell_length_a 6.5705
_cell_length_b 5.3281
_cell_length_c 3.9599
_cell_angle_alpha 90.00
_cell_angle_beta 90.00
_cell_angle_gamma 128.07
loop_
_space_group_symop_operation_xyz
'x,y,z'
loop_
_atom_site_label
_atom_site_type_symbol
_atom_site_fract_x
_atom_site_fract_y
_atom_site_fract_z
C1 C 0.1409 0.6793 0.0000
C2 C 0.4616 0.3207 0.0000
C3 C 0.3220 0.0000 0.0000
Ca1 Ca 0.9429 0.0000 0.0000
Ca2 Ca 0.7711 0.4095 0.5000
Ca3 Ca 0.3616 0.5905 0.5000
```

VASP energy per entry: -10.888; -20.394; -23.362; -21.842; -37.292; -44.565; -43.950; -22.900; -61.066; -37.826; -49.542; -12.587; -34.073; -8.957; -17.469; -28.168; -58.217; -39.610; -28.874; -33.132 eV/cell
Formation energy per entry: 1.39; 0.02; 1.58; 0.15; 1.80; 0.04; 0.12; 1.69; 0.52; 0.72; 1.48; 4.27; 1.14; 1.13; 1.25; 1.07; 1.95; 0.21; 2.00; 0.09 eV per atom